Entry from the Alexandria database: Na2Ac2O3F2 after structural relaxation (PBE).

Unit cell a=4.3365 b=4.3365 c=15.4834 alpha=90.00 beta=90.00 gamma=90.00
With the nearest neighbours (Å) after each atom.
Space group I4/mmm (No. 139)
Unique sites:
Na1 0.0000 0.5000 0.0000 x4  2 O 2.17
Ac1 0.0000 0.0000 0.1726 x4  5 O 2.48-2.67
O1 0.0000 0.0000 0.0000 x2  4 Na 2.17
O2 0.0000 0.5000 0.2500 x4  4 Ac 2.48
F1 0.0000 0.0000 0.4038 x4  4 Na 2.63

Calculated values
Energy relative to the elements, uncorrected in eV/atom: -2.88
Fermi-level density of states in states/eV/cell: 0.00
Uncorrected energy in eV/atom: -6.155